# MgTl2Fe, optimized geometry, DFT PBE
data_MgTl2Fe
_chemical_formula_sum 'Mg3 Tl6 Fe3'
_cell_length_a 3.3037
_cell_length_b 3.3037
_cell_length_c 27.7757
_cell_angle_alpha 90.00
_cell_angle_beta 90.00
_cell_angle_gamma 120.00
_space_group_name_H-M_alt 'R -3 m'
_space_group_IT_number 166
_space_group_name_Hall '-R 3 2"'
loop_
_atom_site_label
_atom_site_type_symbol
_atom_site_fract_x
_atom_site_fract_y
_atom_site_fract_z
_atom_site_occupancy
Mg1 Mg 0.0000 0.0000 0.0000 1
Tl1 Tl 0.0000 0.0000 0.2444 1
Fe1 Fe 0.0000 0.0000 0.5000 1
# **ΔE_f**: 0.36 eV/atom
# **Total energy**: -3.335 eV per atom
# **Fermi-level density of states**: 4.4 states/eV/cell



# Tb6PrNd2Tm, optimized geometry, DFT PBE
data_Tb6PrNd2Tm
_chemical_formula_sum 'Tb24 Pr4 Nd8 Tm4'
_cell_length_a 9.1110
_cell_length_b 15.1288
_cell_length_c 9.7387
_cell_angle_alpha 90.00
_cell_angle_beta 98.36
_cell_angle_gamma 90.00
_space_group_name_H-M_alt 'C 1 2/c 1'
_space_group_IT_number 15
loop_
_space_group_symop_operation_xyz
'x,y,z'
'-x,-y,-z'
'-x,y,-z+1/2'
'x,-y,z+1/2'
'x+1/2,y+1/2,z'
'-x+1/2,-y+1/2,-z'
'-x+1/2,y+1/2,-z+1/2'
'x+1/2,-y+1/2,z+1/2'
loop_
_atom_site_label
_atom_site_type_symbol
_atom_site_fract_x
_atom_site_fract_y
_atom_site_fract_z
_atom_site_occupancy
Tb1 Tb 0.0672 0.1904 0.4429 1
Tb2 Tb 0.0986 0.3934 0.6190 1
Tb3 Tb 0.2058 0.2235 0.8132 1
Pr1 Pr 0.0000 0.0188 0.7500 1
Nd1 Nd 0.2482 0.0510 0.0436 1
Tm1 Tm 0.0000 0.4079 0.2500 1
# **ΔE_f**: 0.12 eV/atom
# **Total energy**: -4.542 eV per atom
# **Fermi-level density of states**: 55.8 states/eV/cell



# CsHfCl14, optimized geometry, DFT PBE
data_CsHfCl14
_chemical_formula_sum 'Cs1 Hf1 Cl14'
_cell_length_a 8.2479
_cell_length_b 8.7734
_cell_length_c 9.4587
_cell_angle_alpha 100.94
_cell_angle_beta 108.67
_cell_angle_gamma 102.44
_space_group_name_H-M_alt 'P 1'
_space_group_IT_number 1
loop_
_space_group_symop_operation_xyz
'x,y,z'
loop_
_atom_site_label
_atom_site_type_symbol
_atom_site_fract_x
_atom_site_fract_y
_atom_site_fract_z
_atom_site_occupancy
Cs1 Cs 0.0000 0.0000 0.0000 1
Hf1 Hf 0.2959 0.6372 0.9032 1
Cl1 Cl 0.0416 0.8147 0.4605 1
Cl2 Cl 0.1778 0.4635 0.6188 1
Cl3 Cl 0.2788 0.3748 0.9767 1
Cl4 Cl 0.3079 0.8859 0.8202 1
Cl5 Cl 0.3200 0.7739 0.1528 1
Cl6 Cl 0.3734 0.4083 0.2765 1
Cl7 Cl 0.4523 0.4295 0.5108 1
Cl8 Cl 0.5967 0.6529 0.9158 1
Cl9 Cl 0.6336 0.1210 0.0850 1
Cl10 Cl 0.6627 0.0810 0.6666 1
Cl11 Cl 0.8274 0.9775 0.5894 1
Cl12 Cl 0.8502 0.2672 0.2736 1
Cl13 Cl 0.8579 0.7410 0.2396 1
Cl14 Cl 0.9652 0.5528 0.7860 1
# **Formation energy (no corrections)**: -0.805 eV per atom
# **Total energy**: -3.096 eV per atom



# BaTlPd3Au, optimized geometry, DFT PBE
data_BaTlPd3Au
_chemical_formula_sum 'Ba4 Tl4 Pd12 Au4'
_cell_length_a 6.7497
_cell_length_b 13.7490
_cell_length_c 6.0785
_cell_angle_alpha 90.00
_cell_angle_beta 90.00
_cell_angle_gamma 90.00
_space_group_name_H-M_alt 'C m c m'
_space_group_IT_number 63
_space_group_name_Hall '-C 2c 2'
loop_
_atom_site_label
_atom_site_type_symbol
_atom_site_fract_x
_atom_site_fract_y
_atom_site_fract_z
_atom_site_occupancy
Ba1 Ba 0.0000 0.1920 0.2500 1
Tl1 Tl 0.0000 0.4306 0.2500 1
Pd1 Pd 0.0000 0.3589 0.7500 1
Pd2 Pd 0.1974 0.0000 0.0000 1
Au1 Au 0.0000 0.1538 0.7500 1
# **ΔE_f**: -0.24 eV/atom
# **Total energy**: -4.098 eV per atom
# **Fermi-level density of states**: 5.4 states/eV/cell



# CaPt2, optimized geometry, DFT PBE
data_CaPt2
_chemical_formula_sum 'Ca4 Pt8'
_cell_length_a 10.9840
_cell_length_b 2.9246
_cell_length_c 7.1479
_cell_angle_alpha 90.00
_cell_angle_beta 104.81
_cell_angle_gamma 90.00
_space_group_name_H-M_alt 'C 1 2/m 1'
_space_group_IT_number 12
loop_
_space_group_symop_operation_xyz
'x,y,z'
'-x,-y,-z'
'-x,y,-z'
'x,-y,z'
'x+1/2,y+1/2,z'
'-x+1/2,-y+1/2,-z'
'-x+1/2,y+1/2,-z'
'x+1/2,-y+1/2,z'
loop_
_atom_site_label
_atom_site_type_symbol
_atom_site_fract_x
_atom_site_fract_y
_atom_site_fract_z
_atom_site_occupancy
Ca1 Ca 0.0296 0.0000 0.2889 1
Pt1 Pt 0.1461 0.5000 0.0173 1
Pt2 Pt 0.2001 0.5000 0.6407 1
# **ΔE_f**: -0.51 eV/atom
# **Total energy**: -5.205 eV per atom
# **Fermi-level density of states**: 6.3 states/eV/cell



# Cu2Hg2Pb, optimized geometry, DFT PBE
data_Cu2Hg2Pb
_chemical_formula_sum 'Cu4 Hg4 Pb2'
_cell_length_a 7.7644
_cell_length_b 7.7644
_cell_length_c 3.3384
_cell_angle_alpha 90.00
_cell_angle_beta 90.00
_cell_angle_gamma 90.00
_space_group_name_H-M_alt 'P 4/m b m'
_space_group_IT_number 127
_space_group_name_Hall '-P 4 2ab'
loop_
_atom_site_label
_atom_site_type_symbol
_atom_site_fract_x
_atom_site_fract_y
_atom_site_fract_z
_atom_site_occupancy
Cu1 Cu 0.1173 0.3827 0.0000 1
Hg1 Hg 0.1729 0.6729 0.5000 1
Pb1 Pb 0.0000 0.0000 0.0000 1
# **ΔE_f**: 0.19 eV/atom
# **Total energy**: -2.310 eV per atom
# **Fermi-level density of states**: 2.4 states/eV/cell



# Ca2ScGe3Pd4, optimized geometry, DFT PBE
data_Ca2ScGe3Pd4
_chemical_formula_sum 'Ca2 Sc1 Ge3 Pd4'
_cell_length_a 4.1733
_cell_length_b 4.1733
_cell_length_c 11.2741
_cell_angle_alpha 90.00
_cell_angle_beta 90.00
_cell_angle_gamma 90.00
_space_group_name_H-M_alt 'P -4 m 2'
_space_group_IT_number 115
loop_
_space_group_symop_operation_xyz
'x,y,z'
'y,-x,-z'
'-x,-y,z'
'-y,x,-z'
'-x,y,z'
'-y,-x,-z'
'x,-y,z'
'y,x,-z'
loop_
_atom_site_label
_atom_site_type_symbol
_atom_site_fract_x
_atom_site_fract_y
_atom_site_fract_z
_atom_site_occupancy
Ca1 Ca 0.0000 0.5000 0.2348 1
Sc1 Sc 0.0000 0.0000 0.5000 1
Ge1 Ge 0.0000 0.5000 0.8708 1
Ge2 Ge 0.5000 0.5000 0.5000 1
Pd1 Pd 0.0000 0.0000 0.0000 1
Pd2 Pd 0.0000 0.5000 0.6515 1
Pd3 Pd 0.5000 0.5000 0.0000 1
# **ΔE_f**: -0.77 eV/atom
# **Total energy**: -5.268 eV per atom
# **Fermi-level density of states**: 5.2 states/eV/cell



# CdPtS3, optimized geometry, DFT PBE
data_CdPtS3
_chemical_formula_sum 'Cd1 Pt1 S3'
_cell_length_a 4.7519
_cell_length_b 4.7519
_cell_length_c 4.7519
_cell_angle_alpha 90.00
_cell_angle_beta 90.00
_cell_angle_gamma 90.00
_space_group_name_H-M_alt 'P m -3 m'
_space_group_IT_number 221
_space_group_name_Hall '-P 4 2 3'
loop_
_atom_site_label
_atom_site_type_symbol
_atom_site_fract_x
_atom_site_fract_y
_atom_site_fract_z
_atom_site_occupancy
Cd1 Cd 0.0000 0.0000 0.0000 1
Pt1 Pt 0.5000 0.5000 0.5000 1
S1 S 0.0000 0.5000 0.5000 1
# **Formation energy (no corrections)**: 0.389 eV per atom
# **Total energy**: -3.479 eV per atom
# **Fermi-level density of states**: 7.0 states/eV/cell



# ZrPaN, optimized geometry, DFT PBE
data_ZrPaN
_chemical_formula_sum 'Zr1 Pa1 N1'
_cell_length_a 3.2973
_cell_length_b 3.2973
_cell_length_c 5.8020
_cell_angle_alpha 90.00
_cell_angle_beta 90.00
_cell_angle_gamma 120.00
_space_group_name_H-M_alt 'P 3 m 1'
_space_group_IT_number 156
loop_
_space_group_symop_operation_xyz
'x,y,z'
'-y,x-y,z'
'-x+y,-x,z'
'-y,-x,z'
'-x+y,y,z'
'x,x-y,z'
loop_
_atom_site_label
_atom_site_type_symbol
_atom_site_fract_x
_atom_site_fract_y
_atom_site_fract_z
_atom_site_occupancy
Zr1 Zr 0.0000 0.0000 0.0000 1
Pa1 Pa 0.6667 0.3333 0.4812 1
N1 N 0.3333 0.6667 0.2110 1
# **Formation energy (no corrections)**: -0.917 eV per atom
# **Total energy**: -9.707 eV per atom
# **Fermi-level density of states**: 4.4 states/eV/cell



# Tb4HgRu2, optimized geometry, DFT PBE
data_Tb4HgRu2
_chemical_formula_sum 'Tb8 Hg2 Ru4'
_cell_length_a 6.8796
_cell_length_b 7.5426
_cell_length_c 7.5471
_cell_angle_alpha 101.94
_cell_angle_beta 105.92
_cell_angle_gamma 105.72
_space_group_name_H-M_alt 'P 1'
_space_group_IT_number 1
loop_
_space_group_symop_operation_xyz
'x,y,z'
loop_
_atom_site_label
_atom_site_type_symbol
_atom_site_fract_x
_atom_site_fract_y
_atom_site_fract_z
_atom_site_occupancy
Tb1 Tb 0.0000 0.0000 0.0000 1
Tb2 Tb 0.0000 0.4425 0.8927 1
Tb3 Tb 0.0895 0.1142 0.5003 1
Tb4 Tb 0.3358 0.6711 0.5524 1
Tb5 Tb 0.4974 0.0106 0.3181 1
Tb6 Tb 0.5006 0.1218 0.8782 1
Tb7 Tb 0.5895 0.6207 0.9912 1
Tb8 Tb 0.8359 0.6754 0.5496 1
Hg1 Hg 0.3905 0.3772 0.2304 1
Hg2 Hg 0.8887 0.3517 0.2563 1
Ru1 Ru 0.0488 0.7589 0.2371 1
Ru2 Ru 0.2480 0.7871 0.9015 1
Ru3 Ru 0.5495 0.3578 0.6363 1
Ru4 Ru 0.7485 0.0263 0.6648 1
# **ΔE_f**: -0.31 eV/atom
# **Total energy**: -5.648 eV per atom
# **Fermi-level density of states**: 9.0 states/eV/cell



# TlW2Cl, optimized geometry, DFT PBE
data_TlW2Cl
_chemical_formula_sum 'Tl1 W2 Cl1'
_cell_length_a 3.2197
_cell_length_b 3.2197
_cell_length_c 6.7410
_cell_angle_alpha 90.00
_cell_angle_beta 90.00
_cell_angle_gamma 90.00
_space_group_name_H-M_alt 'P 4/m m m'
_space_group_IT_number 123
_space_group_name_Hall '-P 4 2'
loop_
_atom_site_label
_atom_site_type_symbol
_atom_site_fract_x
_atom_site_fract_y
_atom_site_fract_z
_atom_site_occupancy
Tl1 Tl 0.0000 0.0000 0.0000 1
W1 W 0.5000 0.5000 0.3028 1
Cl1 Cl 0.0000 0.0000 0.5000 1
# **Formation energy (no corrections)**: 1.429 eV per atom
# **Total energy**: -6.101 eV per atom
# **Fermi-level density of states**: 4.6 states/eV/cell



# Ba2PaPdS6, optimized geometry, DFT PBE
data_Ba2PaPdS6
_chemical_formula_sum 'Ba2 Pa1 Pd1 S6'
_cell_length_a 5.1617
_cell_length_b 5.1617
_cell_length_c 9.7806
_cell_angle_alpha 90.00
_cell_angle_beta 90.00
_cell_angle_gamma 90.00
_space_group_name_H-M_alt 'P 4/m m m'
_space_group_IT_number 123
_space_group_name_Hall '-P 4 2'
loop_
_atom_site_label
_atom_site_type_symbol
_atom_site_fract_x
_atom_site_fract_y
_atom_site_fract_z
_atom_site_occupancy
Ba1 Ba 0.0000 0.0000 0.2143 1
Pa1 Pa 0.5000 0.5000 0.5000 1
Pd1 Pd 0.5000 0.5000 0.0000 1
S1 S 0.0000 0.5000 0.0000 1
S2 S 0.0000 0.5000 0.5000 1
S3 S 0.5000 0.5000 0.2392 1
# **Formation energy (no corrections)**: -1.406 eV per atom
# **Total energy**: -5.736 eV per atom
# **Fermi-level density of states**: 3.2 states/eV/cell